No. 1
Na2CeZnO4: relaxed, PBE.

abc: 3.462 5.503 5.857
angles: 107.81 90.00 90.00
Atoms (fractional coordinates):
Na: 0.500 0.000 0.500
Na: 0.000 0.500 0.500
Ce: 0.500 0.500 0.000
Zn: 0.000 0.000 0.000
O: 0.500 0.236 0.215
O: 0.500 0.764 0.785
O: 0.000 0.260 0.785
O: 0.000 0.740 0.215

Computed properties:
E_form (uncorrected)   -2.136 eV/atom
Space-group type   P2/m
N(E_F)   0.00 states/eV per cell
Spin magnetization   0.0 μB/cell

***

No. 2
Cu2AsRu: relaxed, PBE.

abc: 6.965 6.965 5.482
angles: 50.56 50.56 90.00
Atoms (fractional coordinates):
Ru: 0.000 0.000 0.000
Ru: 0.750 0.250 0.500
As: 0.500 0.500 0.000
As: 0.250 0.750 0.500
Cu: 0.608 0.125 0.250
Cu: 0.142 0.625 0.250
Cu: 0.375 0.392 0.750
Cu: 0.875 0.858 0.750

Computed properties:
Space-group type   I-42d
N(E_F)   6.36 states/eV per cell
Calculated formation energy   0.31 eV/atom
Spin magnetization   0.0 μB/cell

***

No. 3
TiBi3F: relaxed, PBE.

abc: 5.004 5.004 5.004
angles: 90.00 90.00 90.00
Atoms (fractional coordinates):
F: 0.000 0.000 0.000
Bi: 0.000 0.500 0.000
Bi: 0.000 0.000 0.500
Bi: 0.500 0.000 0.000
Ti: 0.500 0.500 0.500

Computed properties:
E_form (uncorrected)   -0.099 eV/atom
Space-group type   Pm-3m
N(E_F)   2.77 states/eV per cell
Spin magnetization   0.0 μB/cell
Distance to the lowest polymorph of the same formula   0.538 eV per formula unit

***

No. 4
NbHOs2Ru: relaxed, PBE.

abc: 3.920 3.920 4.064
angles: 90.00 90.00 90.00
Atoms (fractional coordinates):
Ru: 0.500 0.500 0.500
Nb: 0.000 0.000 0.500
Os: 0.000 0.500 0.000
Os: 0.500 0.000 0.000
H: 0.000 0.000 0.000

Computed properties:
Space-group type   P4/mmm
N(E_F)   4.40 states/eV per cell
Spin magnetization   0.0 μB/cell
Distance to the lowest polymorph of the same formula   0.182 eV per formula unit

***

No. 5
SmH6Pt2Rh: relaxed, PBE.

abc: 4.830 4.806 5.533
angles: 89.99 115.45 119.83
Atoms (fractional coordinates):
Sm: 0.997 0.498 0.480
H: 0.665 0.049 0.700
H: 0.327 0.946 0.260
H: 0.892 0.945 0.261
H: 0.328 0.380 0.260
H: 0.666 0.615 0.700
H: 0.102 0.051 0.700
Pt: 0.424 0.711 0.119
Pt: 0.570 0.284 0.841
Rh: 0.997 0.998 0.980

Computed properties:
Space-group type   C2/m
N(E_F)   2.72 states/eV per cell
Spin magnetization   0.0 μB/cell
E_tot   -4.767 eV/atom

***

No. 6
K2SnSbSe5: relaxed, PBE.

abc: 3.991 10.618 14.001
angles: 90.00 90.00 100.83
Atoms (fractional coordinates):
K: 0.877 0.754 0.805
K: 0.113 0.225 0.670
K: 0.123 0.246 0.305
K: 0.887 0.775 0.170
Sn: 0.564 0.129 0.933
Sn: 0.436 0.871 0.433
Sb: 0.774 0.549 0.536
Sb: 0.226 0.451 0.036
Se: 0.343 0.686 0.990
Se: 0.686 0.371 0.889
Se: 0.505 0.010 0.779
Se: 0.274 0.548 0.672
Se: 0.957 0.914 0.550
Se: 0.657 0.314 0.490
Se: 0.314 0.629 0.389
Se: 0.495 0.990 0.279
Se: 0.726 0.452 0.172
Se: 0.043 0.086 0.050

Computed properties:
E_form (uncorrected)   -0.625 eV/atom
Space-group type   Cmc2_1
N(E_F)   7.78 states/eV per cell
Spin magnetization   0.0 μB/cell

***

No. 7
Cu2TcIr: relaxed, PBE.

abc: 3.917 3.714 3.714
angles: 90.00 90.00 90.00
Last column: magnetic moment on the atom in μB.
Atoms (fractional coordinates):
Cu: 0.000 0.000 0.000  0.04
Cu: 0.000 0.500 0.500  0.04
Ir: 0.500 0.500 0.000  0.21
Tc: 0.500 0.000 0.500  0.59

Computed properties:
Space-group type   P4/mmm
N(E_F)   5.90 states/eV per cell
Calculated formation energy   0.31 eV/atom
Spin magnetization   0.9 μB/cell
Distance to the lowest polymorph of the same formula   1.122 eV per formula unit

***

No. 8
Pa2TeAsO2: relaxed, PBE.

abc: 3.882 3.882 8.940
angles: 90.00 90.00 120.00
Atoms (fractional coordinates):
Pa: 0.333 0.667 0.726
Pa: 0.667 0.333 0.274
Te: 0.000 0.000 0.000
As: 0.000 0.000 0.500
O: 0.333 0.667 0.258
O: 0.667 0.333 0.742

Computed properties:
E_form (uncorrected)   -2.217 eV/atom
Space-group type   P-3m1
N(E_F)   5.10 states/eV per cell
Spin magnetization   0.0 μB/cell

***

No. 9
Tm4In2O: relaxed, PBE.

abc: 4.573 4.573 8.718
angles: 74.80 74.80 90.00
Atoms (fractional coordinates):
Tm: 0.832 0.832 0.337
Tm: 0.168 0.168 0.663
Tm: 0.000 0.500 0.000
Tm: 0.500 0.000 0.000
O: 0.000 0.000 0.000
In: 0.639 0.639 0.723
In: 0.361 0.361 0.277

Computed properties:
E_form (uncorrected)   -1.096 eV/atom
Space-group type   I4/mmm
N(E_F)   2.09 states/eV per cell
Spin magnetization   0.0 μB/cell

***

No. 10
HfTaFe4: relaxed, PBE.

abc: 4.874 4.874 7.955
angles: 90.00 90.00 120.00
Last column: magnetic moment on the atom in μB.
Atoms (fractional coordinates):
Hf: 0.667 0.333 0.434  -0.38
Hf: 0.333 0.667 0.566  -0.38
Ta: 0.333 0.667 0.942  -0.31
Ta: 0.667 0.333 0.058  -0.31
Fe: 0.000 0.000 0.500  1.77
Fe: 0.000 0.000 0.000  1.66
Fe: 0.663 0.832 0.245  1.70
Fe: 0.168 0.832 0.245  1.70
Fe: 0.168 0.337 0.245  1.70
Fe: 0.337 0.168 0.755  1.70
Fe: 0.832 0.168 0.755  1.70
Fe: 0.832 0.663 0.755  1.70

Computed properties:
Space-group type   P-3m1
N(E_F)   12.84 states/eV per cell
Calculated formation energy   -0.26 eV/atom
Spin magnetization   11.7 μB/cell
Distance to the lowest polymorph of the same formula   0.046 eV per formula unit

***

No. 11
CaPPb2: relaxed, PBE.

abc: 6.950 6.950 4.608
angles: 70.62 70.62 32.21
Atoms (fractional coordinates):
Ca: 0.750 0.750 0.750
P: 0.250 0.250 0.250
Pb: 0.943 0.943 0.057
Pb: 0.557 0.557 0.443

Computed properties:
Space-group type   Immm
N(E_F)   1.11 states/eV per cell
Calculated formation energy   -0.34 eV/atom
Spin magnetization   0.0 μB/cell

***

No. 12
Np3As: relaxed, PBE.

abc: 4.239 4.239 5.177
angles: 114.16 114.16 90.00
Last column: magnetic moment on the atom in μB.
Atoms (fractional coordinates):
Np: 0.750 0.250 0.500  2.25
Np: 0.250 0.750 0.500  2.25
Np: 0.500 0.500 0.000  2.19
As: 0.000 0.000 0.000  -0.06

Computed properties:
Space-group type   I4/mmm
Calculated formation energy   -0.03 eV/atom
Spin magnetization   6.7 μB/cell
Distance to the lowest polymorph of the same formula   0.185 eV per formula unit

***

No. 13
BeAl2Cd: relaxed, PBE.

abc: 6.481 6.481 6.481
angles: 154.44 144.21 44.50
Atoms (fractional coordinates):
Be: 0.497 0.497 0.000
Al: 0.993 0.993 0.000
Al: 0.324 0.824 0.500
Cd: 0.686 0.186 0.500

Computed properties:
Space-group type   Imm2
N(E_F)   1.53 states/eV per cell
Calculated formation energy   0.25 eV/atom
Spin magnetization   0.0 μB/cell
Distance to the lowest polymorph of the same formula   0.150 eV per formula unit